Entry from Alexandria via LeMat-Bulk: a geometry-optimized Ac3NiSe2 structure (GGA-PBE).

Output
ΔE_f (raw) = -1291 meV per atom
symmetry = I4/mmm
V = 186.1 Å³/cell
total magnetization = 0.000 μB/f.u.
uncorrected energy = -32.82 eV per formula unit

The structure in CIF format:
```
data_Ac3NiSe2
_chemical_formula_sum 'Ac3 Ni1 Se2'
_cell_length_a 9.711
_cell_length_b 9.711
_cell_length_c 9.711
_cell_angle_alpha 153.18
_cell_angle_beta 153.18
_cell_angle_gamma 38.29
_symmetry_space_group_name_H-M 'P 1'
_symmetry_Int_Tables_number 1
_symmetry_space_group_name_Hall 'P 1'
loop_
_atom_site_label
_atom_site_type_symbol
_atom_site_fract_x
_atom_site_fract_y
_atom_site_fract_z
Ac1 Ac 0.000 0.000 0.000
Ac2 Ac 0.342 0.342 0.000
Ac3 Ac 0.658 0.658 0.000
Ni1 Ni 0.500 0.500 0.000
Se1 Se 0.172 0.172 0.000
Se2 Se 0.828 0.828 0.000
```